Record 1
Below is Tb6Pm2Ho3Th after structural relaxation, with properties calculated at the PBE level.

The spin magnetization comes out at 0.000 μB/f.u. The value obtained for the calculated total energy is -4.84 eV per atom. Its density is 8.480 g/cm3. For the formation energy, the calculation gives 29 meV/atom.

It has space group C2/m (No. 12), with a = 6.190 Å, b = 10.707 Å, c = 11.824 Å, α = 90.00°, β = 100.03° and γ = 90.00°. Symmetry generates all atoms from Tb at (0.245, 0.000, 0.249), Tb at (0.250, 0.165, 0.751), Pm at (0.000, 0.333, 0.500), Ho at (0.000, 0.167, 0.000), Ho at (0.000, 0.500, 0.000) and Th at (0.000, 0.000, 0.500).

Record 2
Below is Tb6SmSc3 after structural relaxation, with properties calculated at the PBE level.

The spin magnetization comes out at 0.000 μB/f.u. The value obtained for the calculated total energy is -4.98 eV per atom. Its density is 6.815 g/cm3. For the formation energy, the calculation gives 166 meV/atom.

It has space group Cmc2_1 (No. 36), with a = 10.230 Å, b = 18.860 Å, c = 6.258 Å, α = 90.00°, β = 90.00° and γ = 90.00°. Symmetry generates all atoms from Tb at (0.000, 0.044, 0.000), Tb at (0.000, 0.312, 0.169), Tb at (0.171, 0.466, 0.314), Tb at (0.231, 0.202, 0.986), Sm at (0.000, 0.213, 0.640), Sc at (0.000, 0.385, 0.709) and Sc at (0.195, 0.116, 0.423).

Record 3
Below is Mo2PRu after structural relaxation, with properties calculated at the PBE level.

The spin magnetization comes out at 0.000 μB/f.u. The value obtained for the calculated total energy is -9.05 eV per atom. Its density is 9.366 g/cm3. For the formation energy, the calculation gives 37 meV/atom.

It has space group I-4m2 (No. 119), with a = 3.715 Å, b = 3.715 Å, c = 8.322 Å, α = 90.00°, β = 90.00° and γ = 90.00°. Symmetry generates all atoms from Mo at (0.000, 0.000, 0.000), Mo at (0.000, 0.500, 0.250), P at (0.000, 0.500, 0.750) and Ru at (0.000, 0.000, 0.500).

Record 4
Below is Li2YHf after structural relaxation, with properties calculated at the PBE level.

The spin magnetization comes out at 0.000 μB/f.u. The value obtained for the calculated total energy is -4.98 eV per atom. Its density is 5.011 g/cm3. For the formation energy, the calculation gives 80 meV/atom.

It has space group P-1 (No. 2), with a = 5.080 Å, b = 5.091 Å, c = 8.661 Å, α = 82.16°, β = 73.80° and γ = 60.08°. Symmetry generates all atoms from Li at (0.024, 0.309, 0.130), Li at (0.335, 0.684, 0.133), Y at (0.406, 0.001, 0.695) and Hf at (0.166, 0.667, 0.500).